VASP calculation (PBE with a Hubbard U) on a geometry-optimized CoBiF3 structure.

Unit cell a=4.6214 b=4.6214 c=4.6214 alpha=90.00 beta=90.00 gamma=90.00
Each line ends with the local moment (μB).
Element x y z (fractional)
F  0.5000  0.0000  0.0000  0.03
F  0.0000  0.0000  0.5000  0.04
F  0.0000  0.5000  0.0000  0.05
Bi  0.0000  0.0000  0.0000  0.04
Co  0.5000  0.5000  0.5000  2.23

Output
Calculated density: 5.47 Mg/m³
SG: Pm-3m, No. 221
Calculated total energy: -20.5 eV for the cell shown